Entry 1:
Cs2NpHg2Te4 PBE-GGA optimized geometry; raw total energy = -33.21 eV per formula unit; raw formation energy = -599 meV/atom; volume = 355.04 Å³/cell; total magnetization = 0.463 μB per atom
1.0
8.559 -2.472 0.000
8.559 2.472 0.000
-2.714 0.000 8.392
Cs Np Hg Te
2 1 2 4
direct
0.133 0.133 0.082 Cs
0.867 0.867 0.918 Cs
0.000 0.000 0.500 Np
0.336 0.336 0.516 Hg
0.664 0.664 0.484 Hg
0.196 0.196 0.672 Te
0.498 0.498 0.260 Te
0.502 0.502 0.740 Te
0.804 0.804 0.328 Te

Entry 2:
CsNpHgTe2 PBE-GGA optimized geometry; raw total energy = -22.66 eV per formula unit; raw formation energy = -457 meV/atom; volume = 385.74 Å³/cell; total magnetization = 0.808 μB per atom
1.0
3.223 -8.957 0.000
3.223 8.957 0.000
0.000 0.000 6.682
Cs Np Hg Te
2 2 2 4
direct
0.250 0.750 0.796 Cs
0.750 0.250 0.204 Cs
0.250 0.250 0.500 Np
0.750 0.750 0.500 Np
0.000 0.000 0.000 Hg
0.500 0.500 0.000 Hg
0.129 0.871 0.320 Te
0.371 0.629 0.320 Te
0.629 0.371 0.680 Te
0.871 0.129 0.680 Te

Entry 3:
CsNp4Hg3Te12 PBE-GGA optimized geometry; raw total energy = -98.35 eV per formula unit; raw formation energy = -357 meV/atom; volume = 726.47 Å³/cell; total magnetization = 0.546 μB per atom
1.0
-5.663 5.663 5.663
5.663 -5.663 5.663
5.663 5.663 -5.663
Cs Np Hg Te
1 4 3 12
direct
0.000 0.000 0.000 Cs
0.000 0.000 0.500 Np
0.000 0.500 0.000 Np
0.500 0.000 0.000 Np
0.500 0.500 0.500 Np
0.000 0.500 0.500 Hg
0.500 0.000 0.500 Hg
0.500 0.500 0.000 Hg
0.127 0.310 0.817 Te
0.183 0.493 0.310 Te
0.183 0.873 0.690 Te
0.310 0.183 0.493 Te
0.310 0.817 0.127 Te
0.493 0.310 0.183 Te
0.507 0.690 0.817 Te
0.690 0.183 0.873 Te
0.690 0.817 0.507 Te
0.817 0.127 0.310 Te
0.817 0.507 0.690 Te
0.873 0.690 0.183 Te

Entry 4:
Cs6HgO2 PBE-GGA optimized geometry; raw total energy = -21.64 eV per formula unit; raw formation energy = -700 meV/atom; volume = 465.40 Å³/cell; total magnetization = 0.004 μB per atom
1.0
7.828 0.000 0.000
-3.914 6.779 0.000
0.000 0.000 8.770
Cs Hg O
6 1 2
direct
0.000 0.391 0.310 Cs
0.000 0.609 0.690 Cs
0.391 0.000 0.310 Cs
0.391 0.391 0.690 Cs
0.609 0.000 0.690 Cs
0.609 0.609 0.310 Cs
0.000 0.000 0.000 Hg
0.333 0.667 0.500 O
0.667 0.333 0.500 O

Entry 5:
Cs8Hg2O PBE-GGA optimized geometry; raw total energy = -15.60 eV per formula unit; raw formation energy = -292 meV/atom; volume = 863.23 Å³/cell; total magnetization = 0.000 μB per atom
1.0
9.226 -4.047 0.000
9.226 4.047 0.000
-6.353 0.000 11.560
Cs Hg O
8 2 1
direct
0.027 0.027 0.193 Cs
0.294 0.294 0.871 Cs
0.340 0.340 0.463 Cs
0.441 0.441 0.271 Cs
0.559 0.559 0.729 Cs
0.660 0.660 0.537 Cs
0.706 0.706 0.129 Cs
0.973 0.973 0.807 Cs
0.196 0.196 0.096 Hg
0.804 0.804 0.904 Hg
0.500 0.500 0.500 O

Entry 6:
Cs4Hg2O PBE-GGA optimized geometry; raw total energy = -12.63 eV per formula unit; raw formation energy = -522 meV/atom; volume = 329.95 Å³/cell; excess energy over the best structure of this formula in the dataset = 0.000 eV/atom; total magnetization = 0.000 μB per atom
1.0
9.154 -2.292 0.000
9.154 2.292 0.000
-0.117 0.000 7.863
Cs Hg O
4 2 1
direct
0.043 0.043 0.232 Cs
0.355 0.355 0.127 Cs
0.645 0.645 0.873 Cs
0.957 0.957 0.768 Cs
0.282 0.282 0.609 Hg
0.718 0.718 0.391 Hg
0.500 0.500 0.000 O

Entry 7:
Cs4HgO PBE-GGA optimized geometry; raw total energy = -11.83 eV per formula unit; raw formation energy = -525 meV/atom; volume = 622.51 Å³/cell; total magnetization = 0.000 μB per atom
1.0
9.151 -4.041 0.000
9.151 4.041 0.000
-2.068 0.000 8.418
Cs Hg O
8 2 2
direct
0.043 0.749 0.553 Cs
0.251 0.957 0.947 Cs
0.258 0.339 0.814 Cs
0.339 0.258 0.314 Cs
0.661 0.742 0.686 Cs
0.742 0.661 0.186 Cs
0.749 0.043 0.053 Cs
0.957 0.251 0.447 Cs
0.395 0.605 0.250 Hg
0.605 0.395 0.750 Hg
0.000 0.500 0.500 O
0.500 0.000 0.000 O

Entry 8:
CsHg3O3 PBE-GGA optimized geometry; raw total energy = -19.32 eV per formula unit; raw formation energy = -384 meV/atom; volume = 322.65 Å³/cell; excess energy over the best structure of this formula in the dataset = 0.100 eV/atom; total magnetization = 0.000 μB per atom
1.0
3.395 1.960 8.081
-3.395 1.960 8.081
0.000 -3.920 8.081
Cs Hg O
2 6 6
direct
0.170 0.170 0.170 Cs
0.830 0.830 0.830 Cs
0.091 0.372 0.687 Hg
0.313 0.909 0.628 Hg
0.372 0.687 0.091 Hg
0.628 0.313 0.909 Hg
0.687 0.091 0.372 Hg
0.909 0.628 0.313 Hg
0.040 0.749 0.408 O
0.251 0.592 0.960 O
0.408 0.040 0.749 O
0.592 0.960 0.251 O
0.749 0.408 0.040 O
0.960 0.251 0.592 O

Please write out number 3 again, unchanged.
CsNp4Hg3Te12 PBE-GGA optimized geometry; raw total energy = -98.35 eV per formula unit; raw formation energy = -357 meV/atom; volume = 726.47 Å³/cell; total magnetization = 0.546 μB per atom
1.0
-5.663 5.663 5.663
5.663 -5.663 5.663
5.663 5.663 -5.663
Cs Np Hg Te
1 4 3 12
direct
0.000 0.000 0.000 Cs
0.000 0.000 0.500 Np
0.000 0.500 0.000 Np
0.500 0.000 0.000 Np
0.500 0.500 0.500 Np
0.000 0.500 0.500 Hg
0.500 0.000 0.500 Hg
0.500 0.500 0.000 Hg
0.127 0.310 0.817 Te
0.183 0.493 0.310 Te
0.183 0.873 0.690 Te
0.310 0.183 0.493 Te
0.310 0.817 0.127 Te
0.493 0.310 0.183 Te
0.507 0.690 0.817 Te
0.690 0.183 0.873 Te
0.690 0.817 0.507 Te
0.817 0.127 0.310 Te
0.817 0.507 0.690 Te
0.873 0.690 0.183 Te

- Which of these has the lowest raw formation energy?
  Cs6HgO2

- Look up the raw formation energy of the third one.
  -357 meV/atom